VASP calculation (PBE) on a relaxed Tc2PH2 crystal.

## Properties
Space-group type = I4/mmm, No. 139
Energy = -6.268 eV/atom

abc: 3.7189 3.7189 4.4802
angles: 65.48 65.48 90.00
Fractional coordinates of all 5 atoms:
H (0.7500, 0.2500, 0.5000)
P (0.0000, 0.0000, 0.0000)
Tc (0.3251, 0.3251, 0.3497)
H (0.2500, 0.7500, 0.5000)
Tc (0.6749, 0.6749, 0.6503)

---

VASP calculation (PBE) on a relaxed PAu3 crystal.

## Properties
Space-group type = P4/mmm, No. 123
Calculated formation energy = 0.2544 eV/atom

abc: 2.9506 2.9506 8.0406
angles: 90.00 90.00 90.09
Fractional coordinates of all 4 atoms:
Au (0.0000, 0.0000, 0.4849)
Au (0.5000, 0.5000, 0.7500)
Au (0.0000, 0.0000, 0.0151)
P (0.5000, 0.5000, 0.2500)

---

VASP calculation (PBE) on a relaxed K3RuCl7 crystal.

## Properties
Space-group type = Cm, No. 8
Energy = -3.588 eV/atom

abc: 6.7113 6.7113 7.7958
angles: 79.61 79.61 93.38
Fractional coordinates of all 11 atoms:
Cl (0.0010, 0.3382, 0.8052)
Cl (0.6880, 0.0351, 0.1363)
Cl (0.3382, 0.0010, 0.8052)
Ru (0.0134, 0.0134, 0.9776)
K (0.7452, 0.1916, 0.4840)
Cl (0.5957, 0.5957, 0.5237)
Cl (0.8625, 0.8625, 0.7763)
K (0.1916, 0.7452, 0.4840)
Cl (0.0351, 0.6880, 0.1363)
Cl (0.1585, 0.1585, 0.1928)
K (0.4958, 0.4958, 0.9286)

---

VASP calculation (PBE) on a relaxed PaAuS4 crystal.

## Properties
Space-group type = P2_1/c, No. 14
Energy = -5.654 eV/atom

abc: 6.7514 6.5202 6.5907
angles: 90.00 106.85 90.00
Fractional coordinates of all 12 atoms:
Au (0.0000, 0.5000, 0.5000)
S (0.1760, 0.2616, 0.7652)
S (0.8231, 0.2606, 0.2360)
S (0.8240, 0.7384, 0.2348)
S (0.6760, 0.2384, 0.7652)
Au (0.5000, 0.0000, 0.5000)
Pa (0.5000, 0.5000, 0.0000)
Pa (0.0000, 0.0000, 0.0000)
S (0.3231, 0.2394, 0.2360)
S (0.1769, 0.7394, 0.7640)
S (0.3240, 0.7616, 0.2348)
S (0.6769, 0.7606, 0.7640)

---

VASP calculation (PBE) on a relaxed CeSc4In5 crystal.

## Properties
Space-group type = P4/mmm, No. 123
Calculated formation energy = -0.4192 eV/atom

abc: 3.2376 3.2376 22.2803
angles: 90.00 90.00 90.00
Fractional coordinates of all 10 atoms:
In (0.5000, 0.5000, 0.1114)
Sc (0.0000, 0.0000, 0.5974)
In (0.5000, 0.5000, 0.5000)
Sc (0.0000, 0.0000, 0.4026)
In (0.5000, 0.5000, 0.8886)
Sc (0.0000, 0.0000, 0.7914)
In (0.5000, 0.5000, 0.6944)
In (0.5000, 0.5000, 0.3056)
Ce (0.0000, 0.0000, 0.0000)
Sc (0.0000, 0.0000, 0.2086)

---

VASP calculation (PBE) on a relaxed Dy3Tl3VTe8 crystal.

## Properties
Space-group type = R-3m, No. 166
Energy = -4.517 eV/atom

abc: 8.6196 8.6201 9.6167
angles: 116.66 89.99 120.00
Fractional coordinates of all 15 atoms:
Te (0.7790, 0.0186, 0.2977)
Te (0.2210, 0.9814, 0.7023)
Dy (0.5000, 0.0000, 0.5000)
Tl (0.5000, 0.5000, 0.0000)
Te (0.2395, 0.0185, 0.2977)
Tl (0.0000, 0.5000, 0.0000)
Te (0.7392, 0.4784, 0.7176)
Te (0.7605, 0.9815, 0.7023)
Dy (0.5000, 0.5000, 0.5000)
Tl (0.0000, 0.0000, 0.0000)
Te (0.2209, 0.4417, 0.7022)
V (0.0000, 0.0000, 0.5000)
Dy (0.0000, 0.5000, 0.5000)
Te (0.7791, 0.5583, 0.2978)
Te (0.2608, 0.5216, 0.2824)

---

VASP calculation (PBE) on a relaxed Li6Zn2Hg crystal.

## Properties
Space-group type = C2/m, No. 12
Calculated formation energy = -0.1769 eV/atom

abc: 5.4289 7.8212 5.2102
angles: 138.64 95.15 90.00
Fractional coordinates of all 9 atoms:
Li (0.1669, 0.4989, 0.3332)
Li (0.5000, 0.8341, 0.0000)
Zn (0.6577, 0.6587, 0.3175)
Li (0.8331, 0.5011, 0.6668)
Li (0.1669, 0.8343, 0.3332)
Zn (0.3423, 0.3413, 0.6825)
Li (0.5000, 0.1659, 0.0000)
Li (0.8331, 0.1657, 0.6668)
Hg (0.0000, 0.0000, 0.0000)

---

VASP calculation (PBE) on a relaxed Mg2TiMo crystal.

## Properties
Space-group type = Fm-3m, No. 225
Calculated formation energy = 0.4973 eV/atom

abc: 4.6441 4.6441 4.6441
angles: 60.00 60.00 60.00
Fractional coordinates of all 4 atoms:
Ti (0.0000, 0.0000, 0.0000)
Mg (0.2500, 0.2500, 0.2500)
Mg (0.7500, 0.7500, 0.7500)
Mo (0.5000, 0.5000, 0.5000)

---

VASP calculation (PBE) on a relaxed Ce2ZnCoPt crystal.

## Properties
Space-group type = P2_1/m, No. 11
Calculated formation energy = -0.5233 eV/atom

abc: 4.7067 7.0488 7.5318
angles: 119.25 90.00 90.00
Fractional coordinates of all 10 atoms:
Zn (0.7500, 0.3102, 0.6592)
Co (0.7500, 0.0367, 0.0395)
Co (0.2500, 0.9633, 0.9605)
Ce (0.2500, 0.2391, 0.8972)
Ce (0.2500, 0.2340, 0.3559)
Pt (0.2500, 0.5466, 0.7658)
Zn (0.2500, 0.6898, 0.3408)
Ce (0.7500, 0.7609, 0.1028)
Pt (0.7500, 0.4534, 0.2342)
Ce (0.7500, 0.7660, 0.6441)

---

VASP calculation (PBE) on a relaxed Mg2ScCd crystal.

## Properties
Space-group type = R-3m, No. 166
Calculated formation energy = 0.0059 eV/atom

abc: 10.2556 10.2556 10.2556
angles: 18.32 18.32 18.32
Fractional coordinates of all 4 atoms:
Mg (0.4977, 0.4977, 0.4977)
Sc (0.2500, 0.2500, 0.2500)
Cd (0.7500, 0.7500, 0.7500)
Mg (0.0023, 0.0023, 0.0023)

---

VASP calculation (PBE) on a relaxed NaAlCdHg crystal.

## Properties
Space-group type = F-43m, No. 216
Calculated formation energy = -0.0082 eV/atom

abc: 4.9833 4.9833 4.9833
angles: 60.00 60.00 60.00
Fractional coordinates of all 4 atoms:
Al (0.0000, 0.0000, 0.0000)
Cd (0.2500, 0.2500, 0.2500)
Na (0.5000, 0.5000, 0.5000)
Hg (0.7500, 0.7500, 0.7500)

---

VASP calculation (PBE) on a relaxed TlNiBr2 crystal.

## Properties
Space-group type = I-42d, No. 122
Energy = -3.227 eV/atom

abc: 7.8431 7.8431 6.5795
angles: 53.41 53.41 90.00
Fractional coordinates of all 8 atoms:
Br (0.3750, 0.4776, 0.7500)
Br (0.8750, 0.7724, 0.7500)
Tl (0.7500, 0.2500, 0.5000)
Br (0.2276, 0.6250, 0.2500)
Ni (0.2500, 0.7500, 0.5000)
Ni (0.5000, 0.5000, 0.0000)
Br (0.5224, 0.1250, 0.2500)
Tl (0.0000, 0.0000, 0.0000)

---

VASP calculation (PBE) on a relaxed La2Pr8Mg crystal.

## Properties
Space-group type = Immm, No. 71
Calculated formation energy = 0.0921 eV/atom

abc: 5.7736 7.8475 10.0180
angles: 113.06 106.75 90.00
Fractional coordinates of all 11 atoms:
Pr (0.3665, 0.1470, 0.7331)
Pr (0.0000, 0.2632, 0.0000)
La (0.1952, 0.6952, 0.3904)
Pr (0.3665, 0.5861, 0.7331)
Pr (0.6335, 0.8530, 0.2669)
Mg (0.5000, 0.0000, 0.0000)
La (0.8048, 0.3048, 0.6096)
Pr (0.0000, 0.7368, 0.0000)
Pr (0.1716, 0.1716, 0.3431)
Pr (0.6335, 0.4139, 0.2669)
Pr (0.8284, 0.8284, 0.6569)

---

VASP calculation (PBE) on a relaxed Nd6TlCo2 crystal.

## Properties
Space-group type = Immm, No. 71
Calculated formation energy = -0.1492 eV/atom

abc: 8.6837 8.6837 8.6837
angles: 107.52 108.43 112.51
Fractional coordinates of all 18 atoms:
Co (0.6569, 0.0000, 0.6569)
Nd (0.2064, 0.2335, 0.4399)
Nd (0.8966, 0.7135, 0.1831)
Co (0.5000, 0.6103, 0.1103)
Nd (0.5304, 0.7135, 0.8169)
Co (0.5000, 0.3897, 0.8897)
Nd (0.3142, 0.6379, 0.3237)
Tl (0.0000, 0.5000, 0.5000)
Nd (0.3142, 0.9906, 0.6763)
Nd (0.6858, 0.3621, 0.6763)
Nd (0.2064, 0.7665, 0.9729)
Co (0.3431, 0.0000, 0.3431)
Nd (0.1034, 0.2865, 0.8169)
Nd (0.4696, 0.2865, 0.1831)
Nd (0.7936, 0.2335, 0.0271)
Tl (0.0000, 0.0000, 0.0000)
Nd (0.7936, 0.7665, 0.5601)
Nd (0.6858, 0.0094, 0.3237)

---

VASP calculation (PBE) on a relaxed Y3GaOs crystal.

## Properties
Space-group type = Pm-3m, No. 221
Calculated formation energy = 0.0253 eV/atom

abc: 5.3437 5.3437 5.3437
angles: 90.00 90.00 90.00
Fractional coordinates of all 5 atoms:
Y (0.0000, 0.5000, 0.0000)
Y (0.0000, 0.0000, 0.5000)
Ga (0.5000, 0.5000, 0.5000)
Os (0.0000, 0.0000, 0.0000)
Y (0.5000, 0.0000, 0.0000)

---

VASP calculation (PBE) on a relaxed Tb2SmIr crystal.

## Properties
Space-group type = Pnma, No. 62
Calculated formation energy = -0.5405 eV/atom

abc: 6.4434 7.2784 9.4443
angles: 90.00 90.00 90.00
Fractional coordinates of all 16 atoms:
Ir (0.9409, 0.6177, 0.7500)
Ir (0.0591, 0.3823, 0.2500)
Sm (0.1351, 0.9656, 0.7500)
Sm (0.8649, 0.0344, 0.2500)
Tb (0.6712, 0.8243, 0.9358)
Tb (0.1712, 0.6757, 0.4358)
Ir (0.5591, 0.1177, 0.7500)
Sm (0.3649, 0.4656, 0.7500)
Tb (0.1712, 0.6757, 0.0642)
Tb (0.8288, 0.3243, 0.5642)
Ir (0.4409, 0.8823, 0.2500)
Sm (0.6351, 0.5344, 0.2500)
Tb (0.8288, 0.3243, 0.9358)
Tb (0.6712, 0.8243, 0.5642)
Tb (0.3288, 0.1757, 0.4358)
Tb (0.3288, 0.1757, 0.0642)

---

VASP calculation (PBE) on a relaxed Tb2PmSm3Y6 crystal.

## Properties
Space-group type = C2/m, No. 12
Calculated formation energy = 0.0147 eV/atom

abc: 6.2219 6.2219 11.8587
angles: 95.00 95.00 119.97
Fractional coordinates of all 12 atoms:
Tb (0.3333, 0.6667, 0.0000)
Sm (0.5000, 0.5000, 0.5000)
Sm (0.1668, 0.8332, 0.5000)
Pm (0.0000, 0.0000, 0.0000)
Y (0.2505, 0.2505, 0.7508)
Y (0.4169, 0.0833, 0.2492)
Sm (0.8332, 0.1668, 0.5000)
Y (0.5831, 0.9167, 0.7508)
Y (0.0833, 0.4169, 0.2492)
Tb (0.6667, 0.3333, 0.0000)
Y (0.7495, 0.7495, 0.2492)
Y (0.9167, 0.5831, 0.7508)

---

VASP calculation (PBE) on a relaxed CrTcP crystal.

## Properties
Space-group type = P-6m2, No. 187
Calculated formation energy = -0.2164 eV/atom

abc: 3.9618 3.9618 2.7893
angles: 90.00 90.00 120.00
Fractional coordinates of all 3 atoms:
Tc (0.3333, 0.6667, 0.6665)
Cr (0.0000, 0.0000, 0.1668)
P (0.6667, 0.3333, 0.1667)

---

VASP calculation (PBE) on a relaxed PuZrCo2 crystal.

## Properties
Space-group type = P4/mmm, No. 123
Calculated formation energy = -0.0844 eV/atom

abc: 3.1943 3.1943 6.7157
angles: 90.00 90.00 90.00
Fractional coordinates of all 4 atoms:
Co (0.0000, 0.0000, 0.2217)
Pu (0.5000, 0.5000, 0.5000)
Co (0.0000, 0.0000, 0.7783)
Zr (0.5000, 0.5000, 0.0000)

---

VASP calculation (PBE) on a relaxed Ca8MgAg2 crystal.

## Properties
Space-group type = Immm, No. 71
Calculated formation energy = -0.0957 eV/atom

abc: 4.0544 9.7864 11.2078
angles: 115.89 100.42 90.00
Fractional coordinates of all 11 atoms:
Ca (0.3274, 0.5160, 0.6548)
Ag (0.7515, 0.2515, 0.5029)
Ca (0.6726, 0.4840, 0.3452)
Mg (0.5000, 0.0000, 0.0000)
Ca (0.3274, 0.1388, 0.6548)
Ca (0.8649, 0.8649, 0.7297)
Ca (0.0000, 0.2989, 0.0000)
Ca (0.6726, 0.8612, 0.3452)
Ca (0.0000, 0.7011, 0.0000)
Ag (0.2485, 0.7485, 0.4971)
Ca (0.1351, 0.1351, 0.2703)